Below is Mo3O8 after structural relaxation, with properties calculated at the PBE with a Hubbard U level.

**Electronic total energy**: -6.811 eV/atom
**ΔE to the lowest computed polymorph**: 70.8 meV/atom
**Spin magnetization**: 0.18 μB per atom

a = 6.162 Å, b = 6.162 Å, c = 10.166 Å
α = 90.00°, β = 90.00°, γ = 120.00°
Fractional positions:
Mo  0.667  0.833  0.251
Mo  0.833  0.167  0.751
Mo  0.167  0.333  0.251
Mo  0.833  0.667  0.751
Mo  0.333  0.167  0.751
Mo  0.167  0.833  0.251
O  0.853  0.147  0.153
O  0.706  0.853  0.653
O  0.147  0.294  0.653
O  0.853  0.706  0.153
O  0.294  0.147  0.153
O  0.147  0.853  0.653
O  0.520  0.480  0.847
O  0.039  0.520  0.347
O  0.480  0.961  0.347
O  0.520  0.039  0.847
O  0.000  0.000  0.359
O  0.000  0.000  0.859
O  0.333  0.667  0.142
O  0.961  0.480  0.847
O  0.480  0.520  0.347
O  0.667  0.333  0.642